# 1
A plane-wave DFT calculation with PBE was carried out for crystalline LiNb2Cu at its relaxed geometry.

Structure (POSCAR):
```
LiNb2Cu
1.0
-3.601 3.601 2.529
3.601 -3.601 2.529
3.601 3.601 -2.529
Li Nb Cu
2 4 2
Cartesian
0.000 0.000 0.000
0.000 3.601 1.265
1.801 1.874 -0.632
5.328 1.801 0.632
1.801 1.727 1.897
-1.727 1.801 3.161
3.601 0.000 1.265
0.000 0.000 2.529
```

## Properties
**Excess energy over the best structure of this formula in the dataset**: 197 meV per atom
**DOS at the Fermi energy**: 0.709 states/eV/atom
**Density**: 6.49 Mg/m³
**Formation enthalpy at 0 K**: 559 meV per atom

***

# 2
A plane-wave DFT calculation with PBE was carried out for crystalline LiNbCu2 at its relaxed geometry.

Structure (POSCAR):
```
LiNbCu2
1.0
-3.349 3.349 2.582
3.349 -3.349 2.582
3.349 3.349 -2.582
Li Nb Cu
2 2 4
Cartesian
0.000 0.000 0.000
0.000 3.349 1.291
3.349 0.000 1.291
0.000 0.000 2.582
5.023 1.448 -0.645
1.448 1.674 0.645
-1.674 1.901 1.936
1.901 1.674 3.227
```

## Properties
**DOS at the Fermi energy**: 0.895 states/eV/atom
**Density**: 6.51 Mg/m³
**Formation enthalpy at 0 K**: 575 meV per atom

***

# 3
A plane-wave DFT calculation with PBE was carried out for crystalline LiNbCu at its relaxed geometry.

Structure (POSCAR):
```
LiNbCu
1.0
13.714 0.000 0.000
0.000 1.578 2.132
0.000 -1.578 2.132
Li Nb Cu
2 2 2
Cartesian
2.020 0.000 0.000
11.694 0.000 0.000
4.570 0.000 2.140
9.144 0.000 2.140
0.000 0.000 2.116
6.857 0.000 0.011
```

## Properties
**DOS at the Fermi energy**: 0.602 states/eV/atom
**Density**: 5.88 Mg/m³
**Formation enthalpy at 0 K**: 167 meV per atom

***

# 4
A plane-wave DFT calculation with PBE was carried out for crystalline Li3NbCu at its relaxed geometry.

Structure (POSCAR):
```
Li3NbCu
1.0
5.047 0.000 0.000
0.000 5.047 0.000
0.000 0.000 5.047
Li Nb Cu
3 1 1
Cartesian
0.000 0.000 2.524
0.000 2.524 0.000
2.524 0.000 0.000
0.000 0.000 0.000
2.524 2.524 2.524
```

## Properties
**Excess energy over the best structure of this formula in the dataset**: 645 meV per atom
**DOS at the Fermi energy**: 0.630 states/eV/atom
**Density**: 2.29 Mg/m³
**Formation enthalpy at 0 K**: 1473 meV per atom